Record 1
Pm2ThTl3Se6 | PBE-GGA | relaxed

abc: 7.372 7.372 8.231
angles: 98.58 98.58 120.00
Sites, in units of the cell vectors:
1 Pm 0.167 0.833 0.000
2 Pm 0.833 0.167 0.000
3 Th 0.500 0.500 0.000
4 Tl 0.000 0.000 0.500
5 Tl 0.332 0.668 0.500
6 Tl 0.668 0.332 0.500
7 Se 0.100 0.429 0.787
8 Se 0.243 0.243 0.214
9 Se 0.429 0.100 0.787
10 Se 0.571 0.900 0.213
11 Se 0.757 0.757 0.786
12 Se 0.900 0.571 0.213

Output
Its uncorrected formation energy is -1.31 eV/atom. Its space-group type is No. 12.

---

Record 2
PmThTl2Se4 | PBE-GGA | relaxed

abc: 7.351 4.245 8.269
angles: 90.00 107.05 90.00
Sites, in units of the cell vectors:
1 Pm 0.000 0.000 0.000
2 Th 0.500 0.500 0.000
3 Tl 0.000 0.500 0.500
4 Tl 0.500 0.000 0.500
5 Se 0.242 0.500 0.213
6 Se 0.266 0.000 0.786
7 Se 0.734 0.000 0.214
8 Se 0.758 0.500 0.787

Output
Its uncorrected formation energy is -1.26 eV/atom. Its space-group type is No. 10.

---

Record 3
Pm2TmThSe5 | PBE-GGA | relaxed

abc: 5.052 5.052 10.876
angles: 90.00 90.00 90.00
Sites, in units of the cell vectors:
1 Pm 0.000 0.000 0.177
2 Pm 0.000 0.000 0.823
3 Tm 0.500 0.500 0.000
4 Th 0.500 0.500 0.500
5 Se 0.000 0.000 0.500
6 Se 0.000 0.500 0.000
7 Se 0.500 0.000 0.000
8 Se 0.500 0.500 0.249
9 Se 0.500 0.500 0.751

Output
Its uncorrected formation energy is -1.17 eV/atom. Its space-group type is No. 123.

---

Number 1: Fermi-level density of states 0.48 states/eV per atom, total magnetization 0.0 μB/f.u.. Number 2: Fermi-level density of states 0.68 states/eV per atom, total magnetization 0.0 μB/f.u.. Number 3: Fermi-level density of states 1.02 states/eV per atom, total magnetization 0.0 μB/f.u..